1.
A geometry-optimized Nb4Cd3W2N3 structure. Source: OQMD via LeMat-Bulk, functional PBE.

abc: 5.2112 5.2112 15.5646
angles: 99.67 99.67 59.60
Positions (direct):
Nb1 0.0244 0.1993 0.0878
Nb2 0.1319 0.3090 0.4120
Nb3 0.1993 0.0244 0.5878
Nb4 0.3090 0.1319 0.9120
Nb5 0.6910 0.8681 0.0880
Nb6 0.8007 0.9756 0.4122
Nb7 0.8681 0.6910 0.5880
Nb8 0.9756 0.8007 0.9122
Cd1 0.0871 0.9129 0.2500
Cd2 0.2649 0.4113 0.7501
Cd3 0.4113 0.2649 0.2501
Cd4 0.5887 0.7351 0.7499
Cd5 0.7351 0.5887 0.2499
Cd6 0.9129 0.0871 0.7500
W1 0.3546 0.5338 0.0857
W2 0.4662 0.6454 0.4143
W3 0.5338 0.3546 0.5857
W4 0.6454 0.4662 0.9143
N1 0.0000 0.5000 0.0000
N2 0.1741 0.6623 0.5000
N3 0.3377 0.8259 0.0000
N4 0.5000 0.0000 0.5000
N5 0.6623 0.1741 0.0000
N6 0.8259 0.3377 0.5000

Summary:
Its space-group type is C2/c.

2.
A geometry-optimized Rb2PtBrCl3 structure. Source: OQMD via LeMat-Bulk, functional PBE.

abc: 4.4274 10.6684 10.2056
angles: 90.00 90.00 90.00
Positions (direct):
Rb1 0.0000 0.2389 0.0000
Rb2 0.0000 0.2611 0.5000
Rb3 0.0000 0.7389 0.5000
Rb4 0.0000 0.7611 0.0000
Pt1 0.5000 0.0000 0.7494
Pt2 0.5000 0.5000 0.2494
Br1 0.5000 0.0000 0.5096
Br2 0.5000 0.5000 0.0096
Cl1 0.5000 0.0000 0.9787
Cl2 0.5000 0.2183 0.7494
Cl3 0.5000 0.2817 0.2494
Cl4 0.5000 0.5000 0.4787
Cl5 0.5000 0.7183 0.2494
Cl6 0.5000 0.7817 0.7494

Summary:
Its space-group type is Amm2.

3.
A geometry-optimized Dy3ScPb2C2 structure. Source: OQMD via LeMat-Bulk, functional PBE.

abc: 3.5791 3.5791 15.9226
angles: 90.00 90.00 120.00
Positions (direct):
Dy1 0.0000 0.0000 0.0000
Dy2 0.0000 0.0000 0.3406
Dy3 0.3333 0.6667 0.5095
Sc1 0.3333 0.6667 0.8421
Pb1 0.0000 0.0000 0.6817
Pb2 0.3333 0.6667 0.1701
C1 0.6667 0.3333 0.4250
C2 0.6667 0.3333 0.9156

Summary:
Its space-group type is P3m1.

no.,calculated total energy (eV/atom)
1,-8.04
2,-3.46
3,-6.25